Model A:
Density functional theory data (PBE-GGA) for crystalline LiClF2 at its relaxed geometry.

a = 5.5663 Å, b = 5.5663 Å, c = 5.5663 Å
α = 121.32°, β = 121.32°, γ = 87.73°
Positions (direct):
Li (0.0000, 0.0000, 0.0000)
Li (0.7500, 0.2500, 0.5000)
Cl (0.2500, 0.7500, 0.5000)
Cl (0.5000, 0.5000, 0.0000)
F (0.0329, 0.6250, 0.9079)
F (0.3750, 0.2829, 0.4079)
F (0.7171, 0.1250, 0.0921)
F (0.8750, 0.9671, 0.5921)


Model B:
Density functional theory data (PBE-GGA) for crystalline LiClF2 at its relaxed geometry.

a = 4.2305 Å, b = 4.2305 Å, c = 4.2305 Å
α = 60.00°, β = 60.00°, γ = 60.00°
Positions (direct):
Li (0.0000, 0.0000, 0.0000)
Cl (0.5000, 0.5000, 0.5000)
F (0.2500, 0.2500, 0.2500)
F (0.7500, 0.7500, 0.7500)


Best to worst by energy: model A, model B.


Model A:
Density functional theory data (PBE-GGA) for crystalline LiClF2 at its relaxed geometry.

a = 7.3714 Å, b = 7.3714 Å, c = 7.3714 Å
α = 26.02°, β = 26.02°, γ = 26.02°
Positions (direct):
Li (0.0000, 0.0000, 0.0000)
Cl (0.5000, 0.5000, 0.5000)
F (0.0803, 0.0803, 0.0803)
F (0.9197, 0.9197, 0.9197)


Model B:
Density functional theory data (PBE-GGA) for crystalline LiClF2 at its relaxed geometry.

a = 6.0125 Å, b = 6.0125 Å, c = 6.0125 Å
α = 32.67°, β = 32.67°, γ = 32.67°
Positions (direct):
Li (0.0000, 0.0000, 0.0000)
Cl (0.5000, 0.5000, 0.5000)
F (0.3882, 0.3882, 0.3882)
F (0.6118, 0.6118, 0.6118)


Best to worst by energy: model B, model A.


Model A:
Density functional theory data (PBE-GGA) for crystalline LiClF4 at its relaxed geometry.

a = 6.1892 Å, b = 6.1892 Å, c = 6.1892 Å
α = 139.55°, β = 139.55°, γ = 58.53°
Positions (direct):
Li (0.0000, 0.0000, 0.0000)
Cl (0.2500, 0.7500, 0.5000)
F (0.1732, 0.6840, 0.0809)
F (0.3160, 0.3969, 0.4892)
F (0.6031, 0.0923, 0.9191)
F (0.9077, 0.8268, 0.5108)


Model B:
Density functional theory data (PBE-GGA) for crystalline LiClF4 at its relaxed geometry.

a = 5.6274 Å, b = 5.6897 Å, c = 6.1567 Å
α = 90.00°, β = 90.00°, γ = 90.00°
Positions (direct):
Li (0.0000, 0.0000, 0.0000)
Li (0.0000, 0.5000, 0.5000)
Cl (0.0000, 0.0000, 0.5000)
Cl (0.5000, 0.0000, 0.0000)
F (0.2235, 0.2346, 0.5000)
F (0.2235, 0.7654, 0.5000)
F (0.2627, 0.2211, 0.0000)
F (0.2627, 0.7789, 0.0000)
F (0.7373, 0.2211, 0.0000)
F (0.7373, 0.7789, 0.0000)
F (0.7765, 0.2346, 0.5000)
F (0.7765, 0.7654, 0.5000)


Best to worst by energy: model B, model A.


Model A:
Density functional theory data (PBE-GGA) for crystalline Li3ClF2 at its relaxed geometry.

a = 5.8573 Å, b = 5.8573 Å, c = 5.8573 Å
α = 146.11°, β = 140.89°, γ = 52.70°
Positions (direct):
Li (0.0000, 0.0000, 0.0000)
Li (0.2886, 0.7886, 0.5000)
Li (0.7114, 0.2114, 0.5000)
Cl (0.5000, 0.5000, 0.0000)
F (0.1895, 0.1895, 0.0000)
F (0.8105, 0.8105, 0.0000)


Model B:
Density functional theory data (PBE-GGA) for crystalline Li3ClF2 at its relaxed geometry.

a = 6.1571 Å, b = 6.1571 Å, c = 6.1571 Å
α = 128.43°, β = 100.01°, γ = 101.81°
Positions (direct):
Li (0.0000, 0.2289, 0.2289)
Li (0.0000, 0.7711, 0.7711)
Li (0.5000, 0.0000, 0.0000)
Li (0.5000, 0.2289, 0.7289)
Li (0.5000, 0.5000, 0.5000)
Li (0.5000, 0.7711, 0.2711)
Cl (0.2102, 0.4602, 0.7500)
Cl (0.7898, 0.5398, 0.2500)
F (0.2426, 0.1627, 0.0799)
F (0.4173, 0.8373, 0.5799)
F (0.5827, 0.1627, 0.4201)
F (0.7574, 0.8373, 0.9201)


Best to worst by energy: model A, model B.


Model A:
Density functional theory data (PBE-GGA) for crystalline LiN2ClF at its relaxed geometry.

a = 3.4955 Å, b = 3.4955 Å, c = 5.9239 Å
α = 90.00°, β = 90.00°, γ = 90.00°
Positions (direct):
Li (0.0000, 0.0000, 0.0000)
N (0.0000, 0.5000, 0.5000)
N (0.5000, 0.0000, 0.5000)
Cl (0.5000, 0.5000, 0.5000)
F (0.5000, 0.5000, 0.0000)


Model B:
Density functional theory data (PBE-GGA) for crystalline LiN2ClF at its relaxed geometry.

a = 4.7262 Å, b = 4.7262 Å, c = 3.4370 Å
α = 90.00°, β = 90.00°, γ = 90.00°
Positions (direct):
Li (0.0000, 0.0000, 0.0000)
N (0.0000, 0.5000, 0.0000)
N (0.5000, 0.0000, 0.0000)
Cl (0.5000, 0.5000, 0.5000)
F (0.0000, 0.0000, 0.5000)


Best to worst by energy: model A, model B.


Model A:
Density functional theory data (PBE-GGA) for crystalline LiPCl2F at its relaxed geometry.

a = 5.4474 Å, b = 5.4474 Å, c = 3.6056 Å
α = 90.00°, β = 90.00°, γ = 90.00°
Positions (direct):
Li (0.0000, 0.0000, 0.0000)
P (0.5000, 0.5000, 0.0000)
Cl (0.0000, 0.5000, 0.5000)
Cl (0.5000, 0.0000, 0.5000)
F (0.5000, 0.5000, 0.5000)


Model B:
Density functional theory data (PBE-GGA) for crystalline LiPCl2F at its relaxed geometry.

a = 4.3355 Å, b = 4.3355 Å, c = 5.3341 Å
α = 90.00°, β = 90.00°, γ = 90.00°
Positions (direct):
Li (0.0000, 0.0000, 0.0000)
P (0.0000, 0.0000, 0.5000)
Cl (0.0000, 0.5000, 0.0000)
Cl (0.5000, 0.0000, 0.0000)
F (0.5000, 0.5000, 0.5000)


Best to worst by energy: model A, model B.


Model A:
Density functional theory data (PBE-GGA) for crystalline LiSCl2F at its relaxed geometry.

a = 4.4989 Å, b = 4.4989 Å, c = 5.4933 Å
α = 90.00°, β = 90.00°, γ = 90.00°
Positions (direct):
Li (0.0000, 0.0000, 0.0000)
S (0.0000, 0.0000, 0.5000)
Cl (0.0000, 0.5000, 0.0000)
Cl (0.5000, 0.0000, 0.0000)
F (0.5000, 0.5000, 0.5000)


Model B:
Density functional theory data (PBE-GGA) for crystalline LiSCl2F at its relaxed geometry.

a = 5.5237 Å, b = 5.5237 Å, c = 3.6440 Å
α = 90.00°, β = 90.00°, γ = 90.00°
Positions (direct):
Li (0.0000, 0.0000, 0.0000)
S (0.5000, 0.5000, 0.0000)
Cl (0.0000, 0.5000, 0.5000)
Cl (0.5000, 0.0000, 0.5000)
F (0.5000, 0.5000, 0.5000)


Best to worst by energy: model B, model A.